Material: YAlN2
Method: DFT, GGA-PBE
State: optimized geometry

Unit cell a=5.2299 b=5.2299 c=5.2299 alpha=117.75 beta=117.75 gamma=93.93
Fractional positions:
Y 0.0000 0.0000 0.0000
Y 0.7500 0.2500 0.5000
Al 0.2500 0.7500 0.5000
Al 0.5000 0.5000 0.0000
N 0.1840 0.6250 0.0590
N 0.3750 0.4340 0.5590
N 0.5660 0.1250 0.9410
N 0.8750 0.8160 0.4410

Results
Formation energy (no corrections) ... -1.31 eV/atom
E_tot ... -8.021 eV/atom


Material: YAlN2
Method: DFT, GGA-PBE
State: optimized geometry

Unit cell a=6.1794 b=6.1794 c=6.1794 alpha=34.31 beta=34.31 gamma=34.31
Fractional positions:
Y 0.0000 0.0000 0.0000
Al 0.5000 0.5000 0.5000
N 0.4004 0.4004 0.4004
N 0.5996 0.5996 0.5996

Results
Formation energy (no corrections) ... -0.89 eV/atom
E_tot ... -7.604 eV/atom


Material: Y2AlN3
Method: DFT, GGA-PBE
State: optimized geometry

Unit cell a=5.9572 b=5.9572 c=11.1741 alpha=90.00 beta=90.00 gamma=124.68
Fractional positions:
Y 0.0287 0.9713 0.8493
Y 0.1418 0.8582 0.4232
Y 0.3582 0.6418 0.9232
Y 0.4713 0.5287 0.3493
Y 0.5287 0.4713 0.6507
Y 0.6418 0.3582 0.0768
Y 0.8582 0.1418 0.5768
Y 0.9713 0.0287 0.1507
Al 0.2495 0.7505 0.1630
Al 0.2505 0.7495 0.6630
Al 0.7495 0.2505 0.3370
Al 0.7505 0.2495 0.8370
N 0.0712 0.4288 0.7500
N 0.0733 0.9267 0.6380
N 0.1518 0.8482 0.0193
N 0.3482 0.6518 0.5193
N 0.4267 0.5733 0.1380
N 0.4288 0.0712 0.2500
N 0.5712 0.9288 0.7500
N 0.5733 0.4267 0.8620
N 0.6518 0.3482 0.4807
N 0.8482 0.1518 0.9807
N 0.9267 0.0733 0.3620
N 0.9288 0.5712 0.2500

Results
Formation energy (no corrections) ... -1.42 eV/atom
E_tot ... -8.362 eV/atom
Polymorph energy (0 for the lowest one) ... 5.9 kJ/mol of formula units


Total moment
In order: 0.000, 0.000, 0.000
Unit: μB per atom